First-principles (PBE+U) data for LaHf2VF after structural relaxation, as listed in Alexandria via LeMat-Bulk.

* total energy: -6.8950 eV per atom
* D(E_F): 4.136 states/eV/f.u.

Structure (CIF):
```
data_LaHf2VF
_space_group_name_H-M_alt 'P 4/m m m'
_space_group_IT_number 123
_space_group_name_Hall '-P 4 2'
_cell_length_a 4.694
_cell_length_b 4.694
_cell_length_c 4.428
_cell_angle_alpha 90.00
_cell_angle_beta 90.00
_cell_angle_gamma 90.00
loop_
_atom_site_label
_atom_site_type_symbol
_atom_site_fract_x
_atom_site_fract_y
_atom_site_fract_z
La1 La 0.000 0.000 0.000
Hf1 Hf 0.000 0.500 0.500
V1 V 0.500 0.500 0.000
F1 F 0.500 0.500 0.500
```